(1)
The following is a DFT calculation (PBE) of a geometry-optimized Er2Ga2SiRh5 structure.

Energy relative to the elements, uncorrected   -798 kJ/mol of formula units

a b c (Å): 9.738 9.738 3.440
angles (deg): 90.00 90.00 90.00
Space group P4/mbm (No. 127)
Asymmetric unit:
1 Er 0.172 0.328 0.000 (multiplicity 4)
2 Ga 0.128 0.628 0.000 (multiplicity 4)
3 Si 0.000 0.000 0.000 (multiplicity 2)
4 Rh 0.000 0.500 0.500 (multiplicity 2)
5 Rh 0.065 0.804 0.500 (multiplicity 8)

(2)
The following is a DFT calculation (PBE) of a geometry-optimized Pu2Pa2N5 structure.

Energy relative to the elements, uncorrected   -1133 kJ/mol of formula units

a b c (Å): 11.736 6.556 6.562
angles (deg): 90.00 90.00 90.00
Space group Cmce (No. 64)
Asymmetric unit:
1 Pu 0.000 0.156 0.160 (multiplicity 8)
2 Pa 0.199 0.000 0.500 (multiplicity 8)
3 N 0.000 0.000 0.500 (multiplicity 4)
4 N 0.143 0.169 0.852 (multiplicity 16)

(3)
The following is a DFT calculation (PBE) of a geometry-optimized Re2Pt3 structure.

Distance to the lowest polymorph of the same formula   0.000 eV/atom
Energy relative to the elements   0.10 eV/atom

a b c (Å): 9.300 13.868 4.808
angles (deg): 90.00 90.00 90.00
Space group Fdd2 (No. 43)
Asymmetric unit:
1 Re 0.018 0.207 0.000 (multiplicity 16)
2 Pt 0.000 0.000 0.033 (multiplicity 8)
3 Pt 0.025 0.102 0.523 (multiplicity 16)

(4)
The following is a DFT calculation (PBE) of a geometry-optimized Sm3InSe structure.

Energy relative to the elements, uncorrected   -435 kJ/mol of formula units

a b c (Å): 9.196 4.128 15.613
angles (deg): 90.00 90.00 90.00
Space group Pnma (No. 62)
Asymmetric unit:
1 Sm 0.032 0.250 0.114 (multiplicity 4)
2 Sm 0.158 0.250 0.521 (multiplicity 4)
3 Sm 0.196 0.750 0.283 (multiplicity 4)
4 In 0.080 0.750 0.678 (multiplicity 4)
5 Se 0.166 0.250 0.946 (multiplicity 4)

(5)
The following is a DFT calculation (PBE) of a geometry-optimized K3Pu3InTe8 structure.

Energy relative to the elements, uncorrected   -1310 kJ/mol of formula units

a b c (Å): 8.9894 8.9894 24.8546
angles (deg): 90.00 90.00 120.00
Space group R-3m (No. 166, hexagonal axes)
Asymmetric unit:
1 K 0.0000 0.5000 0.0000 (multiplicity 9)
2 Pu 0.0000 0.5000 0.5000 (multiplicity 9)
3 In 0.0000 0.0000 0.5000 (multiplicity 3)
4 Te 0.0000 0.0000 0.2360 (multiplicity 6)
5 Te 0.0009 0.5004 0.2343 (multiplicity 18)

(6)
The following is a DFT calculation (PBE) of a geometry-optimized CrTc2Rh structure.

Distance to the lowest polymorph of the same formula   0.024 eV/atom
Energy relative to the elements   0.04 eV/atom

a b c (Å): 5.377 7.674 2.677
angles (deg): 90.00 90.00 90.00
Space group Cmmm (No. 65)
Asymmetric unit:
1 Cr 0.000 0.000 0.000 (multiplicity 2)
2 Tc 0.250 0.250 0.500 (multiplicity 4)
3 Rh 0.000 0.500 0.000 (multiplicity 2)

(7)
The following is a DFT calculation (PBE) of a geometry-optimized CaMgIr2 structure.

Energy relative to the elements   0.00 eV/atom

a b c (Å): 2.925 3.839 7.360
angles (deg): 90.00 90.00 90.00
Space group Pmm2 (No. 25)
Asymmetric unit:
1 Ca 0.000 0.000 0.000 (multiplicity 1)
2 Mg 0.500 0.500 0.638 (multiplicity 1)
3 Ir 0.000 0.000 0.404 (multiplicity 1)
4 Ir 0.500 0.500 0.273 (multiplicity 1)

(8)
The following is a DFT calculation (PBE) of a geometry-optimized Tb2UO6 structure.

Distance to the lowest polymorph of the same formula   0.000 eV/atom
Energy relative to the elements, uncorrected   -3004 kJ/mol of formula units

a b c (Å): 3.853 5.377 11.153
angles (deg): 90.00 90.00 90.00
Space group Immm (No. 71)
Asymmetric unit:
1 Tb 0.000 0.000 0.166 (multiplicity 4)
2 U 0.000 0.000 0.500 (multiplicity 2)
3 O 0.000 0.241 0.344 (multiplicity 8)
4 O 0.000 0.268 0.000 (multiplicity 4)

(9)
The following is a DFT calculation (PBE) of a geometry-optimized NaTl5In2Hg structure.

Energy relative to the elements   -0.02 eV/atom

a b c (Å): 3.447 19.807 15.305
angles (deg): 90.00 90.00 90.00
Space group Cmc2_1 (No. 36)
Asymmetric unit:
1 Na 0.000 0.119 0.000 (multiplicity 4)
2 Tl 0.000 0.052 0.812 (multiplicity 4)
3 Tl 0.000 0.128 0.300 (multiplicity 4)
4 Tl 0.000 0.129 0.619 (multiplicity 4)
5 Tl 0.000 0.281 0.958 (multiplicity 4)
6 Tl 0.000 0.469 0.650 (multiplicity 4)
7 In 0.000 0.301 0.297 (multiplicity 4)
8 In 0.000 0.458 0.959 (multiplicity 4)
9 Hg 0.000 0.292 0.638 (multiplicity 4)

(10)
The following is a DFT calculation (PBE) of a geometry-optimized PmPuSbPt structure.

Energy relative to the elements, uncorrected   -282 kJ/mol of formula units

a b c (Å): 7.401 7.401 7.401
angles (deg): 90.00 90.00 90.00
Space group F-43m (No. 216)
Asymmetric unit:
1 Pm 0.000 0.000 0.000 (multiplicity 4)
2 Pu 0.000 0.000 0.500 (multiplicity 4)
3 Sb 0.250 0.250 0.250 (multiplicity 4)
4 Pt 0.250 0.250 0.750 (multiplicity 4)

(11)
The following is a DFT calculation (PBE) of a geometry-optimized Sr5AcZn6 structure.

Energy relative to the elements   -0.20 eV/atom

a b c (Å): 5.516 7.868 8.708
angles (deg): 90.00 108.40 90.00
Space group P2/m (No. 10)
Asymmetric unit:
1 Sr 0.000 0.000 0.000 (multiplicity 1)
2 Sr 0.332 0.500 0.663 (multiplicity 2)
3 Sr 0.333 0.000 0.667 (multiplicity 2)
4 Ac 0.000 0.500 0.000 (multiplicity 1)
5 Zn 0.165 0.251 0.330 (multiplicity 4)
6 Zn 0.500 0.258 0.000 (multiplicity 2)

(12)
The following is a DFT calculation (PBE) of a geometry-optimized TeRuF2 structure.

Distance to the lowest polymorph of the same formula   0.121 eV/atom
Energy relative to the elements, uncorrected   -191 kJ/mol of formula units

a b c (Å): 7.582 7.582 5.092
angles (deg): 90.00 90.00 90.00
Space group I-42d (No. 122)
Asymmetric unit:
1 Te 0.000 0.000 0.000 (multiplicity 4)
2 Ru 0.000 0.000 0.500 (multiplicity 4)
3 F 0.113 0.250 0.625 (multiplicity 8)

(13)
The following is a DFT calculation (PBE) of a geometry-optimized Li3Zn2TeO6 structure.

Energy relative to the elements, uncorrected   -1721 kJ/mol of formula units

a b c (Å): 5.370 9.270 5.307
angles (deg): 90.00 109.98 90.00
Space group C2/m (No. 12)
Asymmetric unit:
1 Li 0.000 0.000 0.000 (multiplicity 2)
2 Li 0.000 0.329 0.000 (multiplicity 4)
3 Zn 0.000 0.166 0.500 (multiplicity 4)
4 Te 0.000 0.500 0.500 (multiplicity 2)
5 O 0.239 0.339 0.738 (multiplicity 8)
6 O 0.244 0.500 0.268 (multiplicity 4)

(14)
The following is a DFT calculation (PBE) of a geometry-optimized LiCaAl3 structure.

Distance to the lowest polymorph of the same formula   1.163 eV/atom
Energy relative to the elements   1.01 eV/atom

a b c (Å): 5.635 5.635 5.635
angles (deg): 90.00 90.00 90.00
Space group Pm-3m (No. 221)
Asymmetric unit:
1 Li 0.000 0.000 0.000 (multiplicity 1)
2 Ca 0.500 0.500 0.500 (multiplicity 1)
3 Al 0.000 0.500 0.500 (multiplicity 3)

(15)
The following is a DFT calculation (PBE) of a geometry-optimized SrTlSe3 structure.

Distance to the lowest polymorph of the same formula   0.000 eV/atom
Energy relative to the elements, uncorrected   -212 kJ/mol of formula units

a b c (Å): 5.414 5.414 5.414
angles (deg): 90.00 90.00 90.00
Space group Pm-3m (No. 221)
Asymmetric unit:
1 Sr 0.000 0.000 0.000 (multiplicity 1)
2 Tl 0.500 0.500 0.500 (multiplicity 1)
3 Se 0.000 0.500 0.500 (multiplicity 3)

Number 1: Fermi-level density of states 6.03 states/eV/cell. Number 2: Fermi-level density of states 39.27 states/eV/cell. Number 3: Fermi-level density of states 29.05 states/eV/cell. Number 4: Fermi-level density of states 17.50 states/eV/cell. Number 5: Fermi-level density of states 111.10 states/eV/cell. Number 6: Fermi-level density of states 7.19 states/eV/cell. Number 7: Fermi-level density of states 3.80 states/eV/cell. Number 8: Fermi-level density of states 0.00 states/eV/cell. Number 9: Fermi-level density of states 14.37 states/eV/cell. Number 10: Fermi-level density of states 45.89 states/eV/cell. Number 11: Fermi-level density of states 7.77 states/eV/cell. Number 12: Fermi-level density of states 19.58 states/eV/cell. Number 13: Fermi-level density of states 6.85 states/eV/cell. Number 14: Fermi-level density of states 5.35 states/eV/cell. Number 15: Fermi-level density of states 5.20 states/eV/cell.